Entry P
The following is a DFT calculation (PBE-GGA) of a relaxed structure of Ba4SrPt.

abc: 11.735 11.735 8.940
angles: 90.00 90.00 147.67
Element x y z (fractional)
Ba  0.000  0.000  0.000
Ba  0.000  0.000  0.500
Ba  0.193  0.807  0.504
Ba  0.193  0.807  0.998
Ba  0.398  0.602  0.251
Ba  0.602  0.398  0.751
Ba  0.807  0.193  0.004
Ba  0.807  0.193  0.498
Sr  0.391  0.609  0.751
Sr  0.609  0.391  0.251
Pt  0.099  0.901  0.750
Pt  0.901  0.099  0.250

Properties
**Space-group type**: Cmc2_1, No. 36
**Mass density**: 4.20 Mg/m³
**Crystal system**: orthorhombic
**Magnetization**: 0.000 μB per atom
**DOS at the Fermi energy**: 5.50 states/eV/f.u.

=====

Entry Q
The following is a DFT calculation (PBE-GGA) of a relaxed structure of Ba4SrPt.

abc: 11.056 11.056 7.487
angles: 105.17 105.17 45.88
Element x y z (fractional)
Ba  0.138  0.648  0.384
Ba  0.180  0.180  0.219
Ba  0.244  0.756  0.000
Ba  0.352  0.862  0.616
Ba  0.648  0.138  0.384
Ba  0.756  0.244  0.000
Ba  0.820  0.820  0.781
Ba  0.862  0.352  0.616
Sr  0.303  0.303  0.815
Sr  0.697  0.697  0.185
Pt  0.027  0.027  0.331
Pt  0.973  0.973  0.669

Properties
**Space-group type**: C2/m, No. 12
**Mass density**: 4.39 Mg/m³
**Crystal system**: monoclinic
**Magnetization**: 0.000 μB per atom
**DOS at the Fermi energy**: 6.60 states/eV/f.u.

=====

Entry R
The following is a DFT calculation (PBE-GGA) of a relaxed structure of Ba4SrPt.

abc: 7.410 7.410 7.410
angles: 60.00 60.00 60.00
Element x y z (fractional)
Ba  0.124  0.124  0.124
Ba  0.124  0.124  0.629
Ba  0.124  0.629  0.124
Ba  0.629  0.124  0.124
Sr  0.500  0.500  0.500
Pt  0.750  0.750  0.750

Properties
**Space-group type**: F-43m, No. 216
**Mass density**: 4.80 Mg/m³
**Crystal system**: cubic
**Magnetization**: 0.424 μB per atom
**DOS at the Fermi energy**: 10.11 states/eV/f.u.

=====

In meV/atom, relative to the most stable structure: entry P 0; entry Q 31; entry R 821.

=====

Entry P
The following is a DFT calculation (PBE-GGA) of a relaxed structure of BaSrPt.

abc: 3.871 7.748 7.869
angles: 104.61 104.13 90.05
Element x y z (fractional)
Ba  0.120  0.063  0.244
Ba  0.880  0.937  0.756
Sr  0.119  0.559  0.239
Sr  0.881  0.441  0.761
Pt  0.499  0.263  0.999
Pt  0.501  0.737  0.001

Properties
**Space-group type**: P-1, No. 2
**Mass density**: 6.31 Mg/m³
**Crystal system**: triclinic
**Magnetization**: 0.000 μB per atom
**DOS at the Fermi energy**: 2.13 states/eV/f.u.

=====

Entry Q
The following is a DFT calculation (PBE-GGA) of a relaxed structure of BaSrPt.

abc: 5.379 5.379 5.379
angles: 60.00 60.00 60.00
Element x y z (fractional)
Ba  0.000  0.000  0.000
Sr  0.500  0.500  0.500
Pt  0.750  0.750  0.750

Properties
**Space-group type**: F-43m, No. 216
**Mass density**: 6.34 Mg/m³
**Crystal system**: cubic
**Magnetization**: 0.000 μB per atom
**DOS at the Fermi energy**: 0.79 states/eV/f.u.

=====

In meV/atom, relative to the most stable structure: entry P 61; entry Q 0.

=====

Entry P
The following is a DFT calculation (PBE-GGA) of a relaxed structure of BaSrPt.

abc: 7.863 7.863 7.863
angles: 151.50 151.50 40.74
Element x y z (fractional)
Ba  0.000  0.000  0.000
Sr  0.242  0.242  0.000
Pt  0.627  0.627  0.000

Properties
**Space-group type**: I4mm, No. 107
**Mass density**: 6.32 Mg/m³
**Crystal system**: tetragonal
**Magnetization**: 0.000 μB per atom
**DOS at the Fermi energy**: 1.97 states/eV/f.u.

=====

Entry Q
The following is a DFT calculation (PBE-GGA) of a relaxed structure of BaSrPt.

abc: 4.530 4.530 7.218
angles: 90.00 90.00 120.00
Element x y z (fractional)
Ba  0.000  0.000  0.000
Sr  0.333  0.667  0.456
Pt  0.667  0.333  0.239

Properties
**Space-group type**: P3m1, No. 156
**Mass density**: 5.44 Mg/m³
**Crystal system**: trigonal
**Magnetization**: 0.000 μB per atom
**DOS at the Fermi energy**: 0.96 states/eV/f.u.

=====

In meV/atom, relative to the most stable structure: entry P 82; entry Q 0.

=====

Entry P
The following is a DFT calculation (PBE-GGA) of a relaxed structure of BaSrPt3.

abc: 5.482 5.482 5.482
angles: 90.00 90.00 90.00
Element x y z (fractional)
Ba  0.000  0.000  0.000
Sr  0.500  0.500  0.500
Pt  0.000  0.000  0.500
Pt  0.000  0.500  0.000
Pt  0.500  0.000  0.000

Properties
**Space-group type**: Pm-3m, No. 221
**Mass density**: 8.17 Mg/m³
**Crystal system**: cubic
**Magnetization**: 0.000 μB per atom
**DOS at the Fermi energy**: 8.96 states/eV/f.u.

=====

Entry Q
The following is a DFT calculation (PBE-GGA) of a relaxed structure of BaSrPt3.

abc: 5.422 5.422 5.422
angles: 90.00 90.00 90.00
Element x y z (fractional)
Ba  0.000  0.000  0.000
Sr  0.500  0.500  0.500
Pt  0.000  0.500  0.500
Pt  0.500  0.000  0.500
Pt  0.500  0.500  0.000

Properties
**Space-group type**: Pm-3m, No. 221
**Mass density**: 8.44 Mg/m³
**Crystal system**: cubic
**Magnetization**: 0.000 μB per atom
**DOS at the Fermi energy**: 7.75 states/eV/f.u.

=====

In meV/atom, relative to the most stable structure: entry P 268; entry Q 0.

=====

Entry P
The following is a DFT calculation (PBE-GGA) of a relaxed structure of BaSr4Pt.

abc: 7.371 7.371 7.371
angles: 60.00 60.00 60.00
Element x y z (fractional)
Ba  0.000  0.000  0.000
Sr  0.376  0.376  0.376
Sr  0.376  0.376  0.873
Sr  0.376  0.873  0.376
Sr  0.873  0.376  0.376
Pt  0.750  0.750  0.750

Properties
**Space-group type**: F-43m, No. 216
**Mass density**: 4.00 Mg/m³
**Crystal system**: cubic
**Magnetization**: 0.000 μB per atom
**DOS at the Fermi energy**: 7.70 states/eV/f.u.

=====

Entry Q
The following is a DFT calculation (PBE-GGA) of a relaxed structure of BaSr4Pt.

abc: 10.644 10.644 7.255
angles: 104.66 104.66 46.10
Element x y z (fractional)
Ba  0.198  0.198  0.175
Ba  0.802  0.802  0.825
Sr  0.151  0.640  0.386
Sr  0.260  0.740  0.000
Sr  0.323  0.323  0.777
Sr  0.360  0.849  0.614
Sr  0.640  0.151  0.386
Sr  0.677  0.677  0.223
Sr  0.740  0.260  0.000
Sr  0.849  0.360  0.614
Pt  0.474  0.474  0.670
Pt  0.526  0.526  0.330

Properties
**Space-group type**: C2/m, No. 12
**Mass density**: 3.98 Mg/m³
**Crystal system**: monoclinic
**Magnetization**: 0.000 μB per atom
**DOS at the Fermi energy**: 4.88 states/eV/f.u.

=====

In meV/atom, relative to the most stable structure: entry P 789; entry Q 0.

=====

Entry P
The following is a DFT calculation (PBE-GGA) of a relaxed structure of BaTaPt2.

abc: 3.694 3.696 7.373
angles: 90.00 90.00 90.00
Element x y z (fractional)
Ba  0.000  0.000  0.000
Ta  0.500  0.000  0.510
Pt  0.000  0.500  0.608
Pt  0.500  0.500  0.270

Properties
**Space-group type**: Pmm2, No. 25
**Mass density**: 11.69 Mg/m³
**Crystal system**: orthorhombic
**Magnetization**: 0.000 μB per atom
**DOS at the Fermi energy**: 3.41 states/eV/f.u.

=====

Entry Q
The following is a DFT calculation (PBE-GGA) of a relaxed structure of BaTaPt2.

abc: 3.362 3.362 7.892
angles: 90.00 90.00 90.00
Element x y z (fractional)
Ba  0.000  0.000  0.000
Ta  0.000  0.000  0.500
Pt  0.500  0.500  0.324
Pt  0.500  0.500  0.676

Properties
**Space-group type**: P4/mmm, No. 123
**Mass density**: 13.19 Mg/m³
**Crystal system**: tetragonal
**Magnetization**: 0.000 μB per atom
**DOS at the Fermi energy**: 1.78 states/eV/f.u.

=====

In meV/atom, relative to the most stable structure: entry P 212; entry Q 0.